VASP calculation (PBE) on an optimized crystal structure of K4CrMo.

Unit cell a=7.2691 b=7.2691 c=7.2691 alpha=60.00 beta=60.00 gamma=60.00
Fractional coordinates of all 6 atoms:
K 0.8748 0.3750 0.3750
K 0.3750 0.3750 0.8748
K 0.3750 0.8748 0.3750
K 0.3750 0.3750 0.3750
Cr 0.0000 0.0000 0.0000
Mo 0.7500 0.7500 0.7500

Space-group type ... F-43m
D(E_F) ... 4.156 states/eV per cell
Raw total energy ... -2.7255 eV/atom
ΔH_f (0 K) ... 1.415 eV per atom